Arrangement i

# Na2Tl5Hg2 (GGA-PBE, optimized geometry)
# space group = Cmce
# Fermi-level density of states = 7.985 states/eV/cell
# calculated volume = 541.40 Å³/cell
data_Na2Tl5Hg2
_symmetry_space_group_name_H-M 'P 1'
_symmetry_Int_Tables_number 1
_cell_length_a 8.833
_cell_length_b 7.820
_cell_length_c 8.759
_cell_angle_alpha 116.51
_cell_angle_beta 90.00
_cell_angle_gamma 90.00
loop_
_symmetry_equiv_pos_as_xyz
'x,y,z'
loop_
_atom_site_label
_atom_site_fract_x
_atom_site_fract_y
_atom_site_fract_z
_atom_site_occupancy
Hg1 0.625 0.877 0.000 1
Hg2 0.125 0.623 0.000 1
Hg3 0.875 0.377 0.000 1
Hg4 0.375 0.123 0.000 1
Na1 0.500 0.719 0.437 1
Na2 0.000 0.219 0.437 1
Na3 0.500 0.281 0.563 1
Na4 0.000 0.781 0.563 1
Tl1 0.689 0.049 0.737 1
Tl2 0.000 0.000 0.000 1
Tl3 0.811 0.811 0.263 1
Tl4 0.811 0.549 0.737 1
Tl5 0.689 0.311 0.263 1
Tl6 0.189 0.189 0.737 1
Tl7 0.311 0.951 0.263 1
Tl8 0.189 0.451 0.263 1
Tl9 0.311 0.689 0.737 1
Tl10 0.500 0.500 0.000 1

=====

Arrangement ii

# Na2Tl5Hg2 (GGA-PBE, optimized geometry)
# space group = P-1
# Fermi-level density of states = 3.637 states/eV/cell
# calculated volume = 266.44 Å³/cell
data_Na2Tl5Hg2
_symmetry_space_group_name_H-M 'P 1'
_symmetry_Int_Tables_number 1
_cell_length_a 6.386
_cell_length_b 8.461
_cell_length_c 9.116
_cell_angle_alpha 141.37
_cell_angle_beta 119.41
_cell_angle_gamma 63.95
loop_
_symmetry_equiv_pos_as_xyz
'x,y,z'
loop_
_atom_site_label
_atom_site_fract_x
_atom_site_fract_y
_atom_site_fract_z
_atom_site_occupancy
Tl1 0.368 0.046 0.823 1
Tl2 0.027 0.562 0.242 1
Tl3 0.973 0.438 0.758 1
Tl4 0.000 0.000 0.000 1
Tl5 0.632 0.954 0.177 1
Na1 0.660 0.536 0.390 1
Na2 0.340 0.464 0.610 1
Hg1 0.746 0.089 0.667 1
Hg2 0.254 0.911 0.333 1

=====

Last place for stability: arrangement i

=====

Arrangement i

# Na5Tl2Hg2 (GGA-PBE, optimized geometry)
# space group = C2/m
# Fermi-level density of states = 3.819 states/eV/cell
# calculated volume = 258.11 Å³/cell
data_Na5Tl2Hg2
_symmetry_space_group_name_H-M 'P 1'
_symmetry_Int_Tables_number 1
_cell_length_a 4.890
_cell_length_b 5.944
_cell_length_c 10.922
_cell_angle_alpha 63.25
_cell_angle_beta 77.06
_cell_angle_gamma 65.71
loop_
_symmetry_equiv_pos_as_xyz
'x,y,z'
loop_
_atom_site_label
_atom_site_fract_x
_atom_site_fract_y
_atom_site_fract_z
_atom_site_occupancy
Hg1 0.757 0.078 0.408 1
Hg2 0.243 0.922 0.592 1
Na1 0.073 0.513 0.342 1
Na2 0.377 0.013 0.234 1
Na3 0.000 0.000 0.000 1
Na4 0.623 0.987 0.766 1
Na5 0.927 0.487 0.658 1
Tl1 0.688 0.522 0.101 1
Tl2 0.312 0.478 0.899 1

=====

Arrangement ii

# Na5Tl2Hg2 (GGA-PBE, optimized geometry)
# space group = Cmce
# Fermi-level density of states = 9.268 states/eV/cell
# calculated volume = 537.74 Å³/cell
data_Na5Tl2Hg2
_symmetry_space_group_name_H-M 'P 1'
_symmetry_Int_Tables_number 1
_cell_length_a 8.021
_cell_length_b 7.889
_cell_length_c 9.369
_cell_angle_alpha 114.90
_cell_angle_beta 90.00
_cell_angle_gamma 90.00
loop_
_symmetry_equiv_pos_as_xyz
'x,y,z'
loop_
_atom_site_label
_atom_site_fract_x
_atom_site_fract_y
_atom_site_fract_z
_atom_site_occupancy
Na1 0.316 0.951 0.266 1
Na2 0.684 0.049 0.734 1
Na3 0.184 0.451 0.266 1
Na4 0.816 0.815 0.266 1
Na5 0.816 0.549 0.734 1
Na6 0.684 0.315 0.266 1
Na7 0.184 0.185 0.734 1
Na8 0.000 0.000 0.000 1
Na9 0.500 0.500 0.000 1
Na10 0.316 0.685 0.734 1
Hg1 0.630 0.871 0.000 1
Hg2 0.130 0.629 0.000 1
Hg3 0.370 0.129 0.000 1
Hg4 0.870 0.371 0.000 1
Tl1 0.000 0.777 0.554 1
Tl2 0.000 0.223 0.446 1
Tl3 0.500 0.723 0.446 1
Tl4 0.500 0.277 0.554 1

=====

Last place for stability: arrangement ii